Computed, not measured: a relaxed structure of AlCdAs2 at the GGA-PBE level of DFT.

abc: 3.898 3.896 5.443
angles: 90.00 90.00 90.00
Fractional positions:
As1 0.000 0.000 0.875
As2 0.500 0.500 0.375
Al1 0.500 0.500 0.875
Cd1 0.000 0.000 0.375

Calculated values
The space-group type is P4/mmm. Its formation energy is -0.02 eV/atom.